No. 1
First-principles (PBE) data for LaAg2MoS after structural relaxation, as listed in Alexandria via LeMat-Bulk.

Lattice parameters (Å, degrees): 5.582 5.582 5.177 90.00 90.00 90.00
Space group P4/mmm (No. 123)
Asymmetric unit:
La 0.000 0.000 0.000 (multiplicity 1)
Ag 0.000 0.500 0.000 (multiplicity 2)
Mo 0.500 0.500 0.500 (multiplicity 1)
S 0.000 0.000 0.500 (multiplicity 1)

Output
Uncorrected formation energy, eV per atom: 1.41
Total DFT energy (no corrections), eV per cell: -18.56

***

No. 2
First-principles (PBE) data for CaOsPt2 after structural relaxation, as listed in Alexandria via LeMat-Bulk.

Lattice parameters (Å, degrees): 4.049 4.049 8.316 90.00 90.00 90.00
Space group I-4m2 (No. 119)
Asymmetric unit:
Ca 0.000 0.000 0.000 (multiplicity 2)
Os 0.000 0.500 0.750 (multiplicity 2)
Pt 0.000 0.000 0.500 (multiplicity 2)
Pt 0.000 0.500 0.250 (multiplicity 2)

Output
Formation energy from the elements, eV/f.u.: 0.451
Total DFT energy (no corrections), eV per cell: -49.72

***

No. 3
First-principles (PBE) data for HgOsSeBr2 after structural relaxation, as listed in Alexandria via LeMat-Bulk.

Lattice parameters (Å, degrees): 5.302 5.302 4.671 90.00 90.00 90.00
Space group P4/mmm (No. 123)
Asymmetric unit:
Hg 0.000 0.000 0.000 (multiplicity 1)
Os 0.500 0.500 0.500 (multiplicity 1)
Se 0.500 0.500 0.000 (multiplicity 1)
Br 0.000 0.500 0.500 (multiplicity 2)

Output
Uncorrected formation energy, eV per atom: 0.33
Total DFT energy (no corrections), eV per cell: -16.69

***

For reference, offset from the most stable computed form by record: 537 278 0 meV per atom.